Entry 1:
First-principles (PBE) data for Nb3RhS6 after structural relaxation, as listed in Alexandria via LeMat-Bulk.

Calculated values
SG: No. 36
Formation energy without anion corrections in eV per atom: -0.736
Calculated total energy in eV per atom: -6.968
Density in g/cm³: 5.29

```
Nb3RhS6
1.0
4.9196 -6.1141 0.0000
4.9196 6.1141 0.0000
0.0000 0.0000 5.9925
Nb Rh S
6 2 12
Cartesian
4.9196 4.9081 2.9963
3.4536 1.4337 3.5607
3.4536 -1.4337 0.5644
6.3856 1.4337 3.5607
6.3856 -1.4337 0.5644
4.9196 -4.9081 0.0000
4.9196 2.5918 1.4088
4.9196 -2.5918 4.4050
3.0188 3.5294 2.2396
1.6397 0.3588 1.7707
1.6397 -0.3588 4.7669
4.9196 2.9008 4.8780
6.8204 3.5294 2.2396
4.9196 0.2924 1.8382
4.9196 -0.2924 4.8345
3.0188 -3.5294 5.2358
4.9196 -2.9008 1.8817
8.1995 0.3588 1.7707
8.1995 -0.3588 4.7669
6.8204 -3.5294 5.2358
```



Entry 2:
First-principles (PBE) data for Nb3RhS after structural relaxation, as listed in Alexandria via LeMat-Bulk.

Calculated values
SG: No. 221
Formation energy without anion corrections in eV per atom: 1.125
Calculated total energy in eV per atom: -7.213
Polymorph energy (0 for the lowest one) in meV per atom: 1537
Density in g/cm³: 6.08

```
Nb3RhS
1.0
4.8341 0.0000 0.0000
0.0000 4.8341 0.0000
0.0000 0.0000 4.8341
Nb Rh S
3 1 1
Cartesian
0.0000 0.0000 2.4171
0.0000 2.4171 0.0000
2.4171 0.0000 0.0000
0.0000 0.0000 0.0000
2.4171 2.4171 2.4171
```



Entry 3:
First-principles (PBE) data for Nb2RhS3 after structural relaxation, as listed in Alexandria via LeMat-Bulk.

Calculated values
SG: No. 44
Formation energy without anion corrections in eV per atom: -0.516
Calculated total energy in eV per atom: -7.161
Density in g/cm³: 5.65

```
Nb2RhS3
1.0
-1.7751 5.8569 2.7196
1.7751 -5.8569 2.7196
1.7751 5.8569 -2.7196
Nb Rh S
2 1 3
Cartesian
0.0000 2.2398 0.0000
0.0000 9.4739 0.0000
0.0000 5.8569 0.4925
1.7751 -1.5705 1.5023
1.7751 1.5705 1.5023
0.0000 0.0000 4.5961
```